Computed, not measured: an optimized crystal structure of Co3SnN at the PBEsol level of DFT.

Properties
- volume (Å³ per atom) = 11.989
- formation energy from raw total energies (meV/atom) = -218

```
Co3SnN
1.0
0.000 4.931 4.931
4.931 0.000 4.931
4.931 4.931 0.000
Co Sn N
12 4 4
Direct
0.065 0.065 0.685
0.065 0.685 0.065
0.065 0.685 0.685
0.315 0.315 0.935
0.315 0.935 0.315
0.315 0.935 0.935
0.685 0.065 0.065
0.685 0.065 0.685
0.685 0.685 0.065
0.935 0.315 0.315
0.935 0.315 0.935
0.935 0.935 0.315
0.000 0.500 0.500
0.500 0.000 0.500
0.500 0.500 0.000
0.500 0.500 0.500
0.000 0.000 0.000
0.000 0.000 0.500
0.000 0.500 0.000
0.500 0.000 0.000
```



Computed, not measured: an optimized crystal structure of Cu2Ir at the PBEsol level of DFT.

Properties
- volume (Å³ per atom) = 12.474
- E above lowest polymorph (eV/f.u.) = 0.09
- ΔH_f (0 K) (eV/atom) = 0.0965

```
Cu2Ir
1.0
4.790 -1.313 0.000
4.790 1.313 0.000
-1.659 0.000 5.949
Cu Ir
4 2
Direct
0.000 0.000 0.000
0.047 0.047 0.608
0.329 0.329 0.662
0.657 0.657 0.341
0.379 0.379 0.275
0.718 0.718 0.937
```